[1]
Below is GaNiAsSe2 after structural relaxation, with properties calculated at the GGA-PBE level.

Unit cell a=5.041 b=5.041 c=4.341 alpha=90.00 beta=90.00 gamma=90.00
Space group P4/mmm (No. 123)
Unique sites:
Ga1 0.000 0.000 0.000 [1 per cell]
Ni1 0.500 0.500 0.500 [1 per cell]
As1 0.500 0.500 0.000 [1 per cell]
Se1 0.000 0.500 0.500 [2 per cell]

Results
Raw total energy = -3.84 eV per atom
Energy relative to the lowest polymorph listed for this composition = 0.000 eV/atom
Formation energy (no corrections) = 0.249 eV/atom


[2]
Below is Ta2GaNiAs after structural relaxation, with properties calculated at the GGA-PBE level.

Unit cell a=4.773 b=4.773 c=4.628 alpha=90.00 beta=90.00 gamma=90.00
Space group P4/mmm (No. 123)
Unique sites:
Ta1 0.000 0.500 0.000 [2 per cell]
Ga1 0.000 0.000 0.000 [1 per cell]
Ni1 0.500 0.500 0.500 [1 per cell]
As1 0.000 0.000 0.500 [1 per cell]

Results
Raw total energy = -5.85 eV per atom
ΔE_f = 1585 meV/atom


[3]
Below is Tb2GaNi4As3 after structural relaxation, with properties calculated at the GGA-PBE level.

Unit cell a=4.021 b=4.021 c=9.945 alpha=90.00 beta=90.00 gamma=90.00
Space group P-4m2 (No. 115)
Unique sites:
Tb1 0.000 0.500 0.243 [2 per cell]
Ga1 0.000 0.000 0.500 [1 per cell]
Ni1 0.000 0.000 0.000 [1 per cell]
Ni2 0.000 0.500 0.633 [2 per cell]
Ni3 0.500 0.500 0.000 [1 per cell]
As1 0.000 0.500 0.867 [2 per cell]
As2 0.500 0.500 0.500 [1 per cell]

Results
Raw total energy = -5.74 eV per atom
ΔE_f = -805 meV/atom


[4]
Below is GaNi7Te2As2 after structural relaxation, with properties calculated at the GGA-PBE level.

Unit cell a=3.683 b=3.683 c=27.781 alpha=90.00 beta=90.00 gamma=90.00
Space group I4/mmm (No. 139)
Unique sites:
Ga1 0.000 0.000 0.000 [2 per cell]
Ni1 0.000 0.000 0.301 [4 per cell]
Ni2 0.000 0.000 0.500 [2 per cell]
Ni3 0.000 0.500 0.063 [8 per cell]
Te1 0.000 0.000 0.208 [4 per cell]
As1 0.000 0.000 0.386 [4 per cell]

Results
Raw total energy = -5.17 eV per atom
Formation energy (no corrections) = -0.249 eV/atom


[5]
Below is Th2GaNi4As3 after structural relaxation, with properties calculated at the GGA-PBE level.

Unit cell a=4.155 b=4.155 c=9.728 alpha=90.00 beta=90.00 gamma=90.00
Space group P-4m2 (No. 115)
Unique sites:
Th1 0.000 0.500 0.245 [2 per cell]
Ga1 0.000 0.000 0.500 [1 per cell]
Ni1 0.000 0.000 0.000 [1 per cell]
Ni2 0.000 0.500 0.630 [2 per cell]
Ni3 0.500 0.500 0.000 [1 per cell]
As1 0.000 0.500 0.872 [2 per cell]
As2 0.500 0.500 0.500 [1 per cell]

Results
Raw total energy = -6.32 eV per atom
ΔE_f = -828 meV/atom


[6]
Below is NpGaAs after structural relaxation, with properties calculated at the GGA-PBE level.

Unit cell a=4.009 b=14.982 c=3.942 alpha=90.00 beta=90.00 gamma=90.00
Space group Cmcm (No. 63)
Unique sites:
Np1 0.000 0.049 0.250 [4 per cell]
Ga1 0.000 0.257 0.750 [4 per cell]
As1 0.000 0.405 0.250 [4 per cell]

Results
Raw total energy = -7.06 eV per atom
Energy relative to the lowest polymorph listed for this composition = 0.030 eV/atom
ΔE_f = -191 meV/atom


[7]
Below is NpGaAs2 after structural relaxation, with properties calculated at the GGA-PBE level.

Unit cell a=4.463 b=4.463 c=3.850 alpha=90.00 beta=90.00 gamma=90.00
Space group P4/mmm (No. 123)
Unique sites:
Np1 0.000 0.000 0.000 [1 per cell]
Ga1 0.500 0.500 0.000 [1 per cell]
As1 0.000 0.500 0.500 [2 per cell]

Results
Raw total energy = -6.72 eV per atom
Energy relative to the lowest polymorph listed for this composition = 0.000 eV/atom
ΔE_f = -407 meV/atom


[8]
Below is Np2GaAs after structural relaxation, with properties calculated at the GGA-PBE level.

Unit cell a=3.363 b=3.363 c=7.679 alpha=90.00 beta=90.00 gamma=90.00
Space group P4/mmm (No. 123)
Unique sites:
Np1 0.000 0.000 0.233 [2 per cell]
Ga1 0.500 0.500 0.500 [1 per cell]
As1 0.500 0.500 0.000 [1 per cell]

Results
Raw total energy = -8.60 eV per atom
ΔE_f = -209 meV/atom


[9]
Below is NpGaAs after structural relaxation, with properties calculated at the GGA-PBE level.

Unit cell a=4.4502 b=4.4502 c=3.6424 alpha=90.00 beta=90.00 gamma=120.00
Space group P-6m2 (No. 187)
Unique sites:
Np1 0.0000 0.0000 0.0000 [1 per cell]
Ga1 0.6667 0.3333 0.5000 [1 per cell]
As1 0.3333 0.6667 0.5000 [1 per cell]

Results
Raw total energy = -7.09 eV per atom
Energy relative to the lowest polymorph listed for this composition = 0.000 eV/atom
ΔE_f = -221 meV/atom


[10]
Below is NpGaAs2 after structural relaxation, with properties calculated at the GGA-PBE level.

Unit cell a=3.3185 b=3.3185 c=28.0248 alpha=90.00 beta=90.00 gamma=120.00
Space group R-3m (No. 166, hexagonal axes)
Unique sites:
Np1 0.0000 0.0000 0.0000 [3 per cell]
Ga1 0.0000 0.0000 0.5000 [3 per cell]
As1 0.0000 0.0000 0.1035 [6 per cell]

Results
Raw total energy = -5.99 eV per atom
Energy relative to the lowest polymorph listed for this composition = 0.731 eV/atom
ΔE_f = 324 meV/atom


[11]
Below is NpGa2As after structural relaxation, with properties calculated at the GGA-PBE level.

Unit cell a=4.113 b=4.113 c=4.557 alpha=90.00 beta=90.00 gamma=90.00
Space group P4/mmm (No. 123)
Unique sites:
Np1 0.000 0.000 0.000 [1 per cell]
Ga1 0.000 0.500 0.500 [2 per cell]
As1 0.500 0.500 0.000 [1 per cell]

Results
Raw total energy = -6.27 eV per atom
ΔE_f = -357 meV/atom


[12]
Below is NpGaAsO6 after structural relaxation, with properties calculated at the GGA-PBE level.

Unit cell a=5.2786 b=5.2786 c=9.2856 alpha=90.00 beta=90.00 gamma=120.00
Space group P-31c (No. 163)
Unique sites:
Np1 0.3333 0.6667 0.2500 [2 per cell]
Ga1 0.3333 0.6667 0.7500 [2 per cell]
As1 0.0000 0.0000 0.0000 [2 per cell]
O1 0.0079 0.3454 0.6312 [12 per cell]

Results
Raw total energy = -7.44 eV per atom
Formation energy (no corrections) = -1.844 eV/atom


Question: raw total energy of number 2 (Ta2GaNiAs)?
Answer: -5.85 eV per atom


Question: Among the records above, which one has the highest raw total energy?
Answer: GaNiAsSe2


Question: The lowest raw total energy belongs to which entry?
Answer: Np2GaAs